## Tb5Ho2Tm3 (GGA-PBE)

Data for a relaxed structure of Tb5Ho2Tm3.

Geometry as extended XYZ:
```
20
Lattice="5.318 -7.808 0.000 5.318 7.808 0.000 -5.318 0.000 7.761" Properties=species:S:1:pos:R:3 pbc="T T T"
Tb 1.330 7.540 5.821
Tb -1.326 2.245 5.799
Tb 1.330 4.419 5.821
Tb 1.333 -2.245 1.919
Tb 3.989 0.273 1.940
Tb 1.330 -0.273 5.821
Tb 3.985 2.245 5.842
Tb 3.989 -4.419 1.940
Tb 6.644 -2.245 1.961
Tb 3.989 -7.540 1.940
Ho 1.341 2.060 0.363
Ho -1.317 -2.060 4.244
Ho 6.636 2.060 3.517
Ho 3.977 -2.060 7.398
Tm 1.343 2.063 3.520
Tm 3.989 3.401 1.940
Tm -1.316 -2.063 7.400
Tm 6.635 2.063 0.360
Tm 1.330 -3.401 5.821
Tm 3.976 -2.063 4.241
```

Results
symmetry: C2/c
formation energy from the elements: 0.201 eV/atom
density: 8.4 Mg/m³

=====

## Tb2HoTm4 (GGA-PBE)

Data for a relaxed structure of Tb2HoTm4.

Geometry as extended XYZ:
```
14
Lattice="6.003 0.000 0.000 2.483 7.871 0.000 1.924 -0.380 9.163" Properties=species:S:1:pos:R:3 pbc="T T T"
Tb 0.000 0.000 0.000
Tb 2.945 6.838 3.283
Tb 3.127 3.653 4.528
Tb 2.936 0.126 5.718
Ho 2.300 4.330 1.166
Ho 8.106 2.966 7.772
Tm 2.501 1.143 2.420
Tm 5.239 4.657 7.097
Tm 5.041 1.303 8.314
Tm 5.347 6.116 0.652
Tm 6.130 5.238 3.861
Tm 5.303 2.768 1.844
Tm 6.077 1.871 5.051
Tm 8.306 6.316 6.564
```

Results
symmetry: P1
formation energy from the elements: 0.073 eV/atom
density: 8.9 Mg/m³